Below is a relaxed structure of PrNdHo2In4, with properties calculated at the PBE level.

- SG = No. 166
- crystal system = trigonal
- size of the total moment (μB per formula unit) = 0.0
- formation energy (eV/atom) = -0.470
- total DFT energy (no corrections) (eV/atom) = -4.18

Cell lengths 5.3960, 5.3960, 9.3642 Å; angles 73.25, 73.25, 60.00 degrees
With the nearest neighbours (Å) after each atom.
Fractional positions:
In 0.3753 0.3753 0.8740  4 Ho 3.30-3.32, 1 Nd 3.30, 3 Pr 3.31
In 0.6247 0.6247 0.1260  4 Ho 3.30-3.32, 1 Nd 3.30, 3 Pr 3.31
In 0.8746 0.8746 0.3762  4 Ho 3.30-3.31, 3 Nd 3.30, 1 Pr 3.32
Ho 0.7500 0.7500 0.7500  8 In 3.30-3.32
Pr 0.0000 0.0000 0.0000  8 In 3.31-3.32
In 0.1254 0.1254 0.6238  4 Ho 3.30-3.31, 3 Nd 3.30, 1 Pr 3.32
Nd 0.5000 0.5000 0.5000  8 In 3.30
Ho 0.2500 0.2500 0.2500  8 In 3.30-3.32

---

Below is a relaxed structure of SrTlBr2, with properties calculated at the PBE level.

- SG = No. 99
- crystal system = tetragonal
- size of the total moment (μB per formula unit) = 0.9
- formation energy from raw total energies (eV per atom) = -1.14
- total DFT energy (no corrections) (eV/atom) = -2.98
- E above lowest polymorph (meV/atom) = 213

Cell lengths 4.4118, 4.4118, 7.9219 Å; angles 90.00, 90.00, 89.96 degrees
With the nearest neighbours (Å) after each atom.
Fractional positions:
Sr 0.0000 0.0000 0.3721  5 Br 2.93-3.14
Br 0.5000 0.5000 0.3297  4 Sr 3.14
Br 0.0000 0.0000 0.0017  1 Sr 2.93
Tl 0.5000 0.5000 0.7965  5 Br 3.52-3.70